(1)
The following is a PBEsol calculation of an optimized crystal structure of CdRu2Pt, from Alexandria.

Cell: 2.755 2.755 7.894 Å, 90.00 90.00 90.00°
Sites, in units of the cell vectors:
1 Cd 0.000 0.000 0.000
2 Ru 0.000 0.000 0.519
3 Ru 0.500 0.500 0.728
4 Pt 0.500 0.500 0.273

Crystal system: tetragonal
DOS(E_F) (states/eV/f.u.): 2.5
M_tot (μB per cell): 0.0
V (Å³/atom): 14.978
Total energy (eV/atom): -7.1068
E_form (eV/atom): 0.02



(2)
The following is a PBEsol calculation of an optimized crystal structure of CdRu2Pt, from Alexandria.

Cell: 2.790 4.619 4.731 Å, 90.00 90.00 90.00°
Sites, in units of the cell vectors:
1 Cd 0.000 0.000 0.000
2 Ru 0.000 0.500 0.500
3 Ru 0.500 0.000 0.500
4 Pt 0.500 0.500 0.000

Crystal system: orthorhombic
DOS(E_F) (states/eV/f.u.): 4.8
M_tot (μB per cell): 1.8
V (Å³/atom): 15.241
Total energy (eV/atom): -6.7121
E_form (eV/atom): 0.41



(3)
The following is a PBEsol calculation of an optimized crystal structure of CdRuPt, from Alexandria.

Cell: 6.390 6.390 6.390 Å, 154.93 154.93 35.76°
Sites, in units of the cell vectors:
1 Cd 0.000 0.000 0.000
2 Ru 0.674 0.674 0.000
3 Pt 0.321 0.321 0.000

Crystal system: tetragonal
ΔE to the lowest computed polymorph (meV/atom): 0
DOS(E_F) (states/eV/f.u.): 2.9
M_tot (μB per cell): 0.0
V (Å³/atom): 15.600
Total energy (eV/atom): -6.0216
E_form (eV/atom): 0.09



(4)
The following is a PBEsol calculation of an optimized crystal structure of CdRuPt, from Alexandria.

Cell: 2.800 2.800 6.850 Å, 90.00 90.00 120.00°
Sites, in units of the cell vectors:
1 Cd 0.000 0.000 0.000
2 Ru 0.667 0.333 0.343
3 Pt 0.333 0.667 0.649

Crystal system: trigonal
ΔE to the lowest computed polymorph (meV/atom): 52
DOS(E_F) (states/eV/f.u.): 2.7
M_tot (μB per cell): 0.0
V (Å³/atom): 15.505
Total energy (eV/atom): -5.9699
E_form (eV/atom): 0.14



(5)
The following is a PBEsol calculation of an optimized crystal structure of CdRuPt2, from Alexandria.

Cell: 2.782 2.782 7.966 Å, 90.00 90.00 90.00°
Sites, in units of the cell vectors:
1 Cd 0.000 0.000 0.000
2 Ru 0.500 0.500 0.734
3 Pt 0.000 0.000 0.515
4 Pt 0.500 0.500 0.265

Crystal system: tetragonal
DOS(E_F) (states/eV/f.u.): 3.6
M_tot (μB per cell): 0.0
V (Å³/atom): 15.410
Total energy (eV/atom): -6.2806
E_form (eV/atom): 0.04



(6)
The following is a PBEsol calculation of an optimized crystal structure of CdRu2Pt, from Alexandria.

Cell: 3.097 3.097 6.373 Å, 90.00 90.00 90.00°
Sites, in units of the cell vectors:
1 Cd 0.000 0.000 0.000
2 Ru 0.500 0.500 0.275
3 Ru 0.500 0.500 0.725
4 Pt 0.000 0.000 0.500

Crystal system: tetragonal
DOS(E_F) (states/eV/f.u.): 4.2
M_tot (μB per cell): 0.0
V (Å³/atom): 15.284
Total energy (eV/atom): -6.7144
E_form (eV/atom): 0.41



(7)
The following is a PBEsol calculation of an optimized crystal structure of CdRu2Pt, from Alexandria.

Cell: 5.441 5.441 5.441 Å, 150.63 128.88 60.06°
Sites, in units of the cell vectors:
1 Cd 0.000 0.000 0.000
2 Ru 0.515 0.515 0.000
3 Ru 0.735 0.235 0.500
4 Pt 0.266 0.766 0.500

Crystal system: orthorhombic
DOS(E_F) (states/eV/f.u.): 4.5
M_tot (μB per cell): 0.0
V (Å³/atom): 15.258
Total energy (eV/atom): -6.7943
E_form (eV/atom): 0.33



(8)
The following is a PBEsol calculation of an optimized crystal structure of CdRu2Pt, from Alexandria.

Cell: 4.815 4.815 4.815 Å, 132.53 132.53 69.39°
Sites, in units of the cell vectors:
1 Cd 0.000 0.000 0.000
2 Ru 0.250 0.750 0.500
3 Ru 0.750 0.250 0.500
4 Pt 0.500 0.500 0.000

Crystal system: tetragonal
DOS(E_F) (states/eV/f.u.): 4.8
M_tot (μB per cell): 0.0
V (Å³/atom): 14.868
Total energy (eV/atom): -6.8168
E_form (eV/atom): 0.31



(9)
The following is a PBEsol calculation of an optimized crystal structure of CdPtS2, from Alexandria.

Cell: 7.741 7.741 7.741 Å, 26.97 26.97 26.97°
Sites, in units of the cell vectors:
1 Cd 0.000 0.000 0.000
2 Pt 0.500 0.500 0.500
3 S 0.402 0.402 0.402
4 S 0.598 0.598 0.598

Crystal system: trigonal
DOS(E_F) (states/eV/f.u.): 2.6
M_tot (μB per cell): 0.0
Formation energy without anion corrections (meV/atom): 81
V (Å³/atom): 21.041
Total energy (eV/atom): -4.1510



(10)
The following is a PBEsol calculation of an optimized crystal structure of Cd2SbPt, from Alexandria.

Cell: 6.840 6.840 6.840 Å, 154.51 140.64 47.48°
Sites, in units of the cell vectors:
1 Cd 0.000 0.000 0.000
2 Cd 0.673 0.173 0.500
3 Sb 0.376 0.376 0.000
4 Pt 0.193 0.693 0.500

Crystal system: orthorhombic
DOS(E_F) (states/eV/f.u.): 1.1
M_tot (μB per cell): 0.0
Formation energy without anion corrections (meV/atom): -169
V (Å³/atom): 21.763
Total energy (eV/atom): -3.6481



(11)
The following is a PBEsol calculation of an optimized crystal structure of Cd2SbPt, from Alexandria.

Cell: 5.329 5.329 5.329 Å, 133.64 133.64 67.66°
Sites, in units of the cell vectors:
1 Cd 0.250 0.750 0.500
2 Cd 0.750 0.250 0.500
3 Sb 0.000 0.000 0.000
4 Pt 0.500 0.500 0.000

Crystal system: tetragonal
DOS(E_F) (states/eV/f.u.): 1.4
M_tot (μB per cell): 0.0
Formation energy without anion corrections (meV/atom): -45
V (Å³/atom): 19.485
Total energy (eV/atom): -3.5242



(12)
The following is a PBEsol calculation of an optimized crystal structure of Cd2SbPt, from Alexandria.

Cell: 3.004 3.106 8.835 Å, 90.00 90.00 90.00°
Sites, in units of the cell vectors:
1 Cd 0.000 0.000 0.205
2 Cd 0.000 0.000 0.795
3 Sb 0.500 0.500 0.500
4 Pt 0.500 0.500 0.000

Crystal system: orthorhombic
DOS(E_F) (states/eV/f.u.): 1.6
M_tot (μB per cell): 0.0
Formation energy without anion corrections (meV/atom): -58
V (Å³/atom): 20.605
Total energy (eV/atom): -3.5371



(13)
The following is a PBEsol calculation of an optimized crystal structure of ScCdPt2, from Alexandria.

Cell: 5.137 5.137 5.137 Å, 135.13 135.13 65.33°
Sites, in units of the cell vectors:
1 Sc 0.000 0.000 0.000
2 Cd 0.250 0.750 0.500
3 Pt 0.500 0.500 0.000
4 Pt 0.750 0.250 0.500

Crystal system: tetragonal
DOS(E_F) (states/eV/f.u.): 1.3
M_tot (μB per cell): 0.0
V (Å³/atom): 16.622
Total energy (eV/atom): -6.2478
E_form (eV/atom): -0.82



(14)
The following is a PBEsol calculation of an optimized crystal structure of Sc2CdPt, from Alexandria.

Cell: 3.348 3.348 6.804 Å, 90.00 90.00 90.00°
Sites, in units of the cell vectors:
1 Sc 0.000 0.000 0.227
2 Sc 0.000 0.000 0.773
3 Cd 0.500 0.500 0.500
4 Pt 0.500 0.500 0.000

Crystal system: tetragonal
DOS(E_F) (states/eV/f.u.): 2.5
M_tot (μB per cell): 0.0
V (Å³/atom): 19.070
Total energy (eV/atom): -6.1300
E_form (eV/atom): -0.79



(15)
The following is a PBEsol calculation of an optimized crystal structure of ScCdPt, from Alexandria.

Cell: 4.486 4.486 4.486 Å, 60.00 60.00 60.00°
Sites, in units of the cell vectors:
1 Sc 0.000 0.000 0.000
2 Cd 0.500 0.500 0.500
3 Pt 0.750 0.750 0.750

Crystal system: cubic
DOS(E_F) (states/eV/f.u.): 1.5
M_tot (μB per cell): 0.0
V (Å³/atom): 21.272
Total energy (eV/atom): -5.5578
E_form (eV/atom): -0.64



(16)
The following is a PBEsol calculation of an optimized crystal structure of ScCdPt, from Alexandria.

Cell: 5.110 5.110 5.110 Å, 140.29 140.29 57.42°
Sites, in units of the cell vectors:
1 Sc 0.000 0.000 0.000
2 Cd 0.316 0.316 0.000
3 Pt 0.641 0.641 0.000

Crystal system: tetragonal
DOS(E_F) (states/eV/f.u.): 0.8
M_tot (μB per cell): 0.0
V (Å³/atom): 18.005
Total energy (eV/atom): -5.7114
E_form (eV/atom): -0.79



(17)
The following is a PBEsol calculation of an optimized crystal structure of ScCdPt2, from Alexandria.

Cell: 9.183 9.183 9.183 Å, 18.74 18.74 18.74°
Sites, in units of the cell vectors:
1 Sc 0.000 0.000 0.000
2 Cd 0.761 0.761 0.761
3 Pt 0.259 0.259 0.259
4 Pt 0.509 0.509 0.509

Crystal system: trigonal
DOS(E_F) (states/eV/f.u.): 2.6
M_tot (μB per cell): 0.0
V (Å³/atom): 17.458
Total energy (eV/atom): -5.6802
E_form (eV/atom): -0.25



(18)
The following is a PBEsol calculation of an optimized crystal structure of Sc2CdPt, from Alexandria.

Cell: 3.419 4.689 4.690 Å, 90.00 90.00 90.00°
Sites, in units of the cell vectors:
1 Sc 0.000 0.000 0.000
2 Sc 0.000 0.500 0.499
3 Cd 0.500 0.000 0.500
4 Pt 0.500 0.500 0.999

Crystal system: orthorhombic
DOS(E_F) (states/eV/f.u.): 2.6
M_tot (μB per cell): 0.0
V (Å³/atom): 18.800
Total energy (eV/atom): -6.0795
E_form (eV/atom): -0.74



(19)
The following is a PBEsol calculation of an optimized crystal structure of ScCdPt2, from Alexandria.

Cell: 4.350 4.350 3.579 Å, 90.00 90.00 95.10°
Sites, in units of the cell vectors:
1 Sc 0.000 0.000 0.000
2 Cd 0.500 0.500 0.000
3 Pt 0.000 0.500 0.500
4 Pt 0.500 0.000 0.500

Crystal system: orthorhombic
DOS(E_F) (states/eV/f.u.): 1.7
M_tot (μB per cell): 0.0
V (Å³/atom): 16.865
Total energy (eV/atom): -6.2148
E_form (eV/atom): -0.78



(20)
The following is a PBEsol calculation of an optimized crystal structure of ScCdPt2, from Alexandria.

Cell: 3.394 3.394 5.864 Å, 90.00 90.00 90.00°
Sites, in units of the cell vectors:
1 Sc 0.000 0.000 0.000
2 Cd 0.000 0.000 0.500
3 Pt 0.500 0.500 0.246
4 Pt 0.500 0.500 0.754

Crystal system: tetragonal
DOS(E_F) (states/eV/f.u.): 1.2
M_tot (μB per cell): 0.0
V (Å³/atom): 16.890
Total energy (eV/atom): -6.2872
E_form (eV/atom): -0.85



(21)
The following is a PBEsol calculation of an optimized crystal structure of Sc2CdPt, from Alexandria.

Cell: 5.743 5.743 5.743 Å, 145.67 132.71 59.72°
Sites, in units of the cell vectors:
1 Sc 0.000 0.000 0.000
2 Sc 0.716 0.216 0.500
3 Cd 0.276 0.776 0.500
4 Pt 0.507 0.507 0.000

Crystal system: orthorhombic
DOS(E_F) (states/eV/f.u.): 2.7
M_tot (μB per cell): 0.0
V (Å³/atom): 19.443
Total energy (eV/atom): -5.9721
E_form (eV/atom): -0.63



(22)
The following is a PBEsol calculation of an optimized crystal structure of ScCdPt3, from Alexandria.

Cell: 4.734 4.734 4.734 Å, 90.00 90.00 90.00°
Sites, in units of the cell vectors:
1 Sc 0.000 0.000 0.000
2 Cd 0.500 0.500 0.500
3 Pt 0.000 0.000 0.500
4 Pt 0.000 0.500 0.000
5 Pt 0.500 0.000 0.000

Crystal system: cubic
DOS(E_F) (states/eV/f.u.): 2.4
M_tot (μB per cell): 0.0
V (Å³/atom): 21.223
Total energy (eV/atom): -5.1556
E_form (eV/atom): 0.58



(23)
The following is a PBEsol calculation of an optimized crystal structure of ScCdPt2, from Alexandria.

Cell: 3.556 3.556 5.497 Å, 90.00 90.00 90.00°
Sites, in units of the cell vectors:
1 Sc 0.000 0.000 0.000
2 Cd 0.500 0.500 0.306
3 Pt 0.000 0.000 0.516
4 Pt 0.500 0.500 0.802

Crystal system: tetragonal
DOS(E_F) (states/eV/f.u.): 1.3
M_tot (μB per cell): 0.0
V (Å³/atom): 17.380
Total energy (eV/atom): -6.0858
E_form (eV/atom): -0.65



(24)
The following is a PBEsol calculation of an optimized crystal structure of CdPt2Se, from Alexandria.

Cell: 2.829 4.815 5.040 Å, 90.00 90.00 90.00°
Sites, in units of the cell vectors:
1 Cd 0.000 0.000 0.000
2 Pt 0.500 0.000 0.507
3 Pt 0.500 0.500 0.859
4 Se 0.500 0.500 0.362

Crystal system: orthorhombic
DOS(E_F) (states/eV/f.u.): 1.7
M_tot (μB per cell): 0.0
Formation energy without anion corrections (meV/atom): -107
V (Å³/atom): 17.162
Total energy (eV/atom): -4.8503



(25)
The following is a PBEsol calculation of an optimized crystal structure of Cd2PtSe, from Alexandria.

Cell: 3.046 3.046 8.164 Å, 90.00 90.00 90.00°
Sites, in units of the cell vectors:
1 Cd 0.000 0.000 0.222
2 Cd 0.000 0.000 0.778
3 Pt 0.500 0.500 0.000
4 Se 0.500 0.500 0.500

Crystal system: tetragonal
DOS(E_F) (states/eV/f.u.): 1.1
M_tot (μB per cell): 0.0
Formation energy without anion corrections (meV/atom): -99
V (Å³/atom): 18.943
Total energy (eV/atom): -3.4007



(26)
The following is a PBEsol calculation of an optimized crystal structure of Cd2PtSe, from Alexandria.

Cell: 5.259 5.259 5.259 Å, 134.20 134.20 66.78°
Sites, in units of the cell vectors:
1 Cd 0.000 0.000 0.000
2 Cd 0.750 0.250 0.500
3 Pt 0.500 0.500 0.000
4 Se 0.250 0.750 0.500

Crystal system: tetragonal
DOS(E_F) (states/eV/f.u.): 0.6
M_tot (μB per cell): 0.0
Formation energy without anion corrections (meV/atom): -51
V (Å³/atom): 18.386
Total energy (eV/atom): -3.3527



(27)
The following is a PBEsol calculation of an optimized crystal structure of Cd2SiPt, from Alexandria.

Cell: 4.601 4.601 4.601 Å, 60.00 60.00 60.00°
Sites, in units of the cell vectors:
1 Cd 0.000 0.000 0.000
2 Cd 0.250 0.250 0.250
3 Si 0.500 0.500 0.500
4 Pt 0.750 0.750 0.750

Crystal system: cubic
DOS(E_F) (states/eV/f.u.): 2.3
M_tot (μB per cell): 0.0
Formation energy without anion corrections (meV/atom): 96
V (Å³/atom): 17.222
Total energy (eV/atom): -3.6804



(28)
The following is a PBEsol calculation of an optimized crystal structure of CdSi2Pt, from Alexandria.

Cell: 5.929 5.929 5.929 Å, 153.17 133.04 54.90°
Sites, in units of the cell vectors:
1 Cd 0.000 0.000 0.000
2 Si 0.294 0.794 0.500
3 Si 0.706 0.206 0.500
4 Pt 0.500 0.500 0.000

Crystal system: orthorhombic
DOS(E_F) (states/eV/f.u.): 1.7
M_tot (μB per cell): 0.0
Formation energy without anion corrections (meV/atom): -14
V (Å³/atom): 17.093
Total energy (eV/atom): -4.9272



(29)
The following is a PBEsol calculation of an optimized crystal structure of CdSi2Pt, from Alexandria.

Cell: 2.764 3.432 6.906 Å, 90.00 90.00 90.00°
Sites, in units of the cell vectors:
1 Cd 0.000 0.000 0.000
2 Si 0.000 0.000 0.473
3 Si 0.500 0.500 0.682
4 Pt 0.500 0.500 0.288

Crystal system: orthorhombic
DOS(E_F) (states/eV/f.u.): 1.5
M_tot (μB per cell): 0.0
Formation energy without anion corrections (meV/atom): -20
V (Å³/atom): 16.376
Total energy (eV/atom): -4.9338



(30)
The following is a PBEsol calculation of an optimized crystal structure of Cd2SiPt, from Alexandria.

Cell: 4.971 4.971 4.971 Å, 130.92 130.92 71.94°
Sites, in units of the cell vectors:
1 Cd 0.000 0.000 0.000
2 Cd 0.750 0.250 0.500
3 Si 0.250 0.750 0.500
4 Pt 0.500 0.500 0.000

Crystal system: tetragonal
DOS(E_F) (states/eV/f.u.): 2.1
M_tot (μB per cell): 0.0
Formation energy without anion corrections (meV/atom): 25
V (Å³/atom): 17.143
Total energy (eV/atom): -3.7513



(31)
The following is a PBEsol calculation of an optimized crystal structure of CdSi2Pt, from Alexandria.

Cell: 2.949 2.949 7.640 Å, 90.00 90.00 90.00°
Sites, in units of the cell vectors:
1 Cd 0.000 0.000 0.000
2 Si 0.500 0.500 0.291
3 Si 0.500 0.500 0.709
4 Pt 0.000 0.000 0.500

Crystal system: tetragonal
DOS(E_F) (states/eV/f.u.): 1.7
M_tot (μB per cell): 0.0
Formation energy without anion corrections (meV/atom): -7
V (Å³/atom): 16.613
Total energy (eV/atom): -4.9205